[1]
4
Lattice="4.593 -0.043 0.225 3.568 2.893 0.225 1.148 0.401 4.220" Properties=species:S:1:pos:R:3 comment="Cu2AsIr | the Alexandria database | GGA-PBE | optimized geometry" total_energy_ev_per_atom=-5.371 spacegroup="No. 8" pbc="T T T"
As 6.924 2.418 3.270
Cu 0.097 0.034 0.205
Cu 2.327 0.813 0.956
Ir 4.615 1.612 2.574

=====

[2]
13
Lattice="-3.153 0.923 -0.332 -2.802 -1.062 7.230 0.337 7.674 1.719" Properties=species:S:1:pos:R:3 comment="KSn4O8 | the Alexandria database | GGA-PBE | optimized geometry" spacegroup="No. 12" formation_energy_uncorrected_ev_per_atom=-1.611 pbc="T T T"
K -1.304 7.896 1.501
Sn -3.292 2.926 6.557
Sn -3.863 6.242 4.786
Sn -1.885 0.808 3.731
Sn -2.456 4.126 1.960
O -1.275 2.518 2.692
O -3.436 1.800 4.797
O -2.312 5.252 3.719
O -4.473 4.534 5.825
O -5.277 2.274 7.177
O -2.191 6.541 6.151
O -0.471 4.777 1.339
O -3.558 0.510 2.366

=====

[3]
5
Lattice="3.985 0.000 0.000 0.000 3.985 0.000 1.993 1.993 5.701" Properties=species:S:1:pos:R:3 comment="Re2SnOs2 | the Alexandria database | GGA-PBE | optimized geometry" total_energy_ev_per_atom=-9.707 spacegroup="No. 139" pbc="T T T"
Re 1.993 1.993 1.264
Re 3.985 3.985 4.437
Os 3.985 1.993 2.851
Os 1.993 3.985 2.851
Sn 0.000 0.000 0.000

=====

[4]
4
Lattice="4.393 -0.014 0.003 -0.917 4.296 0.003 -0.001 -0.001 2.682" Properties=species:S:1:pos:R:3 comment="ZnCo2W | the Alexandria database | GGA-PBE | optimized geometry" total_energy_ev_per_atom=-7.005 spacegroup="No. 65" pbc="T T T"
Co 0.000 0.000 0.000
Co 1.738 2.141 0.003
W 2.196 -0.007 1.342
Zn -0.459 2.148 1.342

=====

[5]
4
Lattice="4.225 0.000 0.000 0.000 4.224 0.000 0.000 0.000 7.510" Properties=species:S:1:pos:R:3 comment="SrIn2Se | the Alexandria database | GGA-PBE | optimized geometry" spacegroup="No. 99" formation_energy_uncorrected_ev_per_atom=-0.722 pbc="T T T"
In 0.000 0.000 0.066
In 2.113 2.112 1.463
Se 0.000 0.000 4.704
Sr 2.113 2.112 5.032

=====

[6]
30
Lattice="5.235 1.387 0.000 1.387 5.235 0.000 0.000 0.000 21.278" Properties=species:S:1:pos:R:3 comment="Li12Al2Zn | the Alexandria database | GGA-PBE | optimized geometry" total_energy_ev_per_atom=-2.133 spacegroup="No. 67" pbc="T T T"
Li 3.311 3.311 17.207
Li 0.000 0.000 17.207
Li 4.965 4.969 18.699
Li 2.359 4.283 19.942
Li 0.000 0.000 6.604
Li 2.339 4.263 1.335
Li 4.753 2.829 11.797
Li 3.311 3.311 6.604
Li 1.658 1.653 18.699
Li 4.969 4.965 2.579
Li 1.723 1.588 13.481
Li 3.793 1.869 9.481
Li 0.000 0.000 14.674
Li 1.588 1.723 7.797
Li 1.653 1.658 2.579
Li 5.034 4.899 7.797
Li 4.899 5.034 13.481
Li 0.000 0.000 4.071
Li 1.869 3.793 11.797
Li 3.311 3.311 14.674
Li 4.263 2.339 19.942
Li 3.311 3.311 4.071
Li 2.829 4.753 9.481
Li 4.283 2.359 1.335
Al 2.618 0.693 5.302
Al 0.693 2.618 5.214
Al 0.693 2.618 15.975
Al 2.618 0.693 16.064
Zn 2.618 0.693 0.028
Zn 0.693 2.618 21.250